Tb2Zn3Ni12Pt | GGA-PBE | optimized geometry

The structure belongs to space group R-3m (No. 166, hexagonal axes); the cell edges are 5.0937, 5.0937 and 34.8761 Å and the angles 90.00°, 90.00° and 120.00°. Symmetry generates all atoms from Tb at (0.0000, 0.0000, 0.1408), Zn at (0.0000, 0.5000, 0.0000), Ni at (0.0030, 0.5015, 0.1076), Ni at (0.0181, 0.5091, 0.6121) and Pt at (0.0000, 0.0000, 0.5000).

The value obtained for the total energy is -0.363 Ry/atom. As for the crystal system: trigonal. As for the density of states at the Fermi level: 25.1 states/eV/f.u. Its calculated volume is 14.51 A^3/atom.

=====

TcNi2Pt2 | GGA-PBE | optimized geometry

The structure belongs to space group P4/mbm (No. 127); the cell edges are 6.965, 6.965 and 2.839 Å and the angles 90.00°, 90.00° and 90.00°. Symmetry generates all atoms from Tc at (0.000, 0.000, 0.000), Ni at (0.124, 0.376, 0.000) and Pt at (0.174, 0.674, 0.500).

The value obtained for the total energy is -0.490 Ry/atom. As for the crystal system: tetragonal. As for the density of states at the Fermi level: 6.3 states/eV/f.u. Its calculated volume is 13.77 A^3/atom.

=====

TcNiPt2 | GGA-PBE | optimized geometry

The structure belongs to space group P2/m (No. 10); the cell edges are 4.733, 2.719 and 4.748 Å and the angles 90.00°, 110.32° and 90.00°. Symmetry generates all atoms from Tc at (0.000, 0.000, 0.000), Ni at (0.000, 0.500, 0.500), Pt at (0.500, 0.000, 0.500) and Pt at (0.500, 0.500, 0.000).

The value obtained for the total energy is -0.518 Ry/atom. As for the crystal system: monoclinic. As for the density of states at the Fermi level: 6.2 states/eV/f.u. Its calculated volume is 14.32 A^3/atom.

=====

total energy of number 2 (TcNi2Pt2)?
-0.490 Ry/atom